# LiMn2PO

A geometry-optimized LiMn2PO structure (PBE+U, the Alexandria database).

abc: 4.191 4.191 4.692
angles: 90.00 90.00 90.00
Space group P4/mmm (No. 123)
Asymmetric unit:
Li1 0.000 0.000 0.000 (multiplicity 1)
Mn1 0.000 0.500 0.500 (multiplicity 2)
P1 0.500 0.500 0.000 (multiplicity 1)
O1 0.500 0.500 0.500 (multiplicity 1)

Calculated values
The volume is 82.40 Å³ per cell. As for the total magnetization: 9.55 μB per cell. The density of states at the Fermi level is 1.1 states/eV/cell. The uncorrected energy comes out at -5.60 eV/atom.